Record 1
{"formula": "MnCrPAu", "functional": "PBE", "state": "optimized geometry", "lattice": [[2.9735, 0.0197, 0.0098], [1.4556, 3.9740, -0.0168], [1.4669, 0.1896, 5.3074]], "species": ["Cr", "P", "Au", "Mn"], "frac_coords": [[0.2533, 0.6011, 0.9410], [0.4848, 0.0286, 0.0504], [0.5055, 0.6217, 0.4172], [0.0852, 0.1841, 0.6934]], "n_ef_per_ev_cell": 3.765, "delta_e_f_ev_per_atom": 0.0655, "de_polymorph_ev_per_atom": 0.202}

---

Record 2
{"formula": "MnCrPAu", "functional": "PBE", "state": "optimized geometry", "lattice": [[6.0446, 0.0000, 0.2965], [0.0000, 3.5690, 0.0000], [-2.3659, 0.0000, 5.6865]], "species": ["Mn", "Mn", "Cr", "Cr", "P", "P", "Au", "Au"], "frac_coords": [[0.3288, 0.0000, 0.6309], [0.3288, 0.5000, 0.1309], [0.6825, 0.5000, 0.9164], [0.6825, 0.0000, 0.4164], [0.5040, 0.0000, 0.0231], [0.5040, 0.5000, 0.5231], [0.0086, 0.5000, 0.6911], [0.0086, 0.0000, 0.1911]], "n_ef_per_ev_cell": 4.825, "delta_e_f_ev_per_atom": 0.0080, "de_polymorph_ev_per_atom": 0.144}

---

Record 3
{"formula": "MnCrPAu", "functional": "PBE", "state": "optimized geometry", "lattice": [[2.9857, 0.0000, 0.0000], [-1.4929, 2.5857, 0.0000], [0.0000, 0.0000, 7.2975]], "species": ["Au", "Cr", "Mn", "P"], "frac_coords": [[0.3333, 0.6667, 0.6029], [0.0000, 0.0000, 0.8970], [0.0000, 0.0000, 0.3024], [0.3333, 0.6667, 0.0957]], "n_ef_per_ev_cell": 1.966, "delta_e_f_ev_per_atom": -0.0601, "de_polymorph_ev_per_atom": 0.076}